The following is a DFT calculation (PBE) of a relaxed LaPmSi2Pd5 crystal.

For the uncorrected formation energy, the calculation gives -86 kJ/mol of atoms. As for the total magnetic moment: 0.00 μB/f.u.

The structure belongs to space group P4/mmm (No. 123); the cell edges are 4.270, 4.270 and 9.067 Å and the angles 90.00°, 90.00° and 90.00°. The distinct sites, in fractional coordinates, are La at (0.000, 0.000, 0.000), Pm at (0.000, 0.000, 0.500), Si at (0.500, 0.500, 0.368), Pd at (0.000, 0.500, 0.236) and Pd at (0.500, 0.500, 0.000).